[1]
The following is a DFT calculation (GGA-PBE) of crystalline TbPr2S3 at its relaxed geometry.

## Properties
Density ... 6.34 g cm⁻³
Uncorrected energy ... -618.9 eV per cell
Spin magnetization ... 0.00 Bohr magnetons per cell
Energy relative to the elements, uncorrected ... -2.019 eV per atom

a b c (Å): 8.181 11.444 24.026
angles (deg): 90.00 90.00 90.00
Space group Fddd (No. 70, origin choice 2)
Asymmetric unit:
Tb 0.125 0.125 0.042 (multiplicity 16)
Pr 0.125 0.125 0.377 (multiplicity 16)
Pr 0.125 0.125 0.544 (multiplicity 16)
S 0.111 0.375 0.375 (multiplicity 16)
S 0.119 0.369 0.211 (multiplicity 32)

=====

[2]
The following is a DFT calculation (GGA-PBE) of crystalline DyPaZnRu at its relaxed geometry.

## Properties
Density ... 11.07 g cm⁻³
Uncorrected energy ... -101.8 eV per cell
Spin magnetization ... 0.01 Bohr magnetons per cell

a b c (Å): 6.952 6.952 6.952
angles (deg): 90.00 90.00 90.00
Space group F-43m (No. 216)
Asymmetric unit:
Dy 0.000 0.000 0.000 (multiplicity 4)
Pa 0.000 0.000 0.500 (multiplicity 4)
Zn 0.250 0.250 0.250 (multiplicity 4)
Ru 0.250 0.250 0.750 (multiplicity 4)

=====

[3]
The following is a DFT calculation (GGA-PBE) of crystalline AcSmAg2Sn2 at its relaxed geometry.

## Properties
Density ... 8.44 g cm⁻³
Uncorrected energy ... -26.1 eV per cell
Spin magnetization ... 0.00 Bohr magnetons per cell

a b c (Å): 4.8390 4.8390 8.0564
angles (deg): 90.00 90.00 120.00
Space group P-3m1 (No. 164)
Asymmetric unit:
Ac 0.0000 0.0000 0.0000 (multiplicity 1)
Sm 0.0000 0.0000 0.5000 (multiplicity 1)
Ag 0.3333 0.6667 0.7033 (multiplicity 2)
Sn 0.3333 0.6667 0.2660 (multiplicity 2)

=====

[4]
The following is a DFT calculation (GGA-PBE) of crystalline Pr4Y3Sc at its relaxed geometry.

## Properties
Density ... 5.39 g cm⁻³
Uncorrected energy ... -85.9 eV per cell
Spin magnetization ... 0.00 Bohr magnetons per cell

a b c (Å): 25.264 3.465 6.180
angles (deg): 90.00 94.99 90.00
Space group C2/m (No. 12)
Asymmetric unit:
Pr 0.102 0.000 0.226 (multiplicity 4)
Pr 0.220 0.500 0.239 (multiplicity 4)
Y 0.000 0.000 0.500 (multiplicity 2)
Y 0.141 0.000 0.740 (multiplicity 4)
Sc 0.000 0.500 0.000 (multiplicity 2)

=====

[5]
The following is a DFT calculation (GGA-PBE) of crystalline ErBeSi at its relaxed geometry.

## Properties
Density ... 6.73 g cm⁻³
Uncorrected energy ... -59.4 eV per cell
Spin magnetization ... 0.00 Bohr magnetons per cell
Energy relative to the elements, uncorrected ... -0.380 eV per atom

a b c (Å): 3.648 10.218 5.412
angles (deg): 90.00 90.00 90.00
Space group Cmcm (No. 63)
Asymmetric unit:
Er 0.000 0.197 0.250 (multiplicity 4)
Be 0.000 0.500 0.000 (multiplicity 4)
Si 0.000 0.085 0.750 (multiplicity 4)

=====

[6]
The following is a DFT calculation (GGA-PBE) of crystalline SrMnTc2 at its relaxed geometry.

## Properties
Density ... 7.84 g cm⁻³
Uncorrected energy ... -27.7 eV per cell
Spin magnetization ... 3.20 Bohr magnetons per cell

a b c (Å): 3.182 4.599 4.899
angles (deg): 90.00 90.00 90.00
Space group Pmmm (No. 47)
Asymmetric unit:
Sr 0.000 0.000 0.000 (multiplicity 1)
Mn 0.500 0.500 0.000 (multiplicity 1)
Tc 0.000 0.500 0.500 (multiplicity 1)
Tc 0.500 0.000 0.500 (multiplicity 1)

=====

[7]
The following is a DFT calculation (GGA-PBE) of crystalline ScIr2IO at its relaxed geometry.

## Properties
Density ... 7.41 g cm⁻³
Uncorrected energy ... -21.9 eV per cell
Spin magnetization ... 2.01 Bohr magnetons per cell
Energy relative to the elements, uncorrected ... 1.741 eV per atom

a b c (Å): 4.816 4.816 5.532
angles (deg): 90.00 90.00 90.00
Space group P4/mmm (No. 123)
Asymmetric unit:
Sc 0.000 0.000 0.000 (multiplicity 1)
Ir 0.000 0.500 0.000 (multiplicity 2)
I 0.000 0.000 0.500 (multiplicity 1)
O 0.500 0.500 0.500 (multiplicity 1)

=====

[8]
The following is a DFT calculation (GGA-PBE) of crystalline TmPa3 at its relaxed geometry.

## Properties
Density ... 13.88 g cm⁻³
Uncorrected energy ... -32.3 eV per cell
Spin magnetization ... 0.00 Bohr magnetons per cell

a b c (Å): 4.689 4.689 4.689
angles (deg): 90.00 90.00 90.00
Space group Pm-3m (No. 221)
Asymmetric unit:
Tm 0.000 0.000 0.000 (multiplicity 1)
Pa 0.000 0.500 0.500 (multiplicity 3)

=====

[9]
The following is a DFT calculation (GGA-PBE) of crystalline Li3SnBr6 at its relaxed geometry.

## Properties
Density ... 3.87 g cm⁻³
Uncorrected energy ... -93.3 eV per cell
Spin magnetization ... 0.01 Bohr magnetons per cell
Energy relative to the elements, uncorrected ... -1.133 eV per atom

a b c (Å): 6.9392 6.9392 19.1042
angles (deg): 90.00 90.00 120.00
Space group R3 (No. 146, hexagonal axes)
Asymmetric unit:
Li 0.0000 0.0000 0.0000 (multiplicity 3)
Li 0.0000 0.0000 0.1953 (multiplicity 3)
Li 0.0000 0.0000 0.6987 (multiplicity 3)
Sn 0.0000 0.0000 0.5100 (multiplicity 3)
Br 0.0215 0.6747 0.2708 (multiplicity 9)
Br 0.0257 0.3540 0.7685 (multiplicity 9)

=====

[10]
The following is a DFT calculation (GGA-PBE) of crystalline Li2GdGa at its relaxed geometry.

## Properties
Density ... 5.44 g cm⁻³
Uncorrected energy ... -87.9 eV per cell
Spin magnetization ... 28.65 Bohr magnetons per cell

a b c (Å): 6.649 6.649 6.649
angles (deg): 90.00 90.00 90.00
Space group Fm-3m (No. 225)
Asymmetric unit:
Li 0.250 0.250 0.250 (multiplicity 8)
Gd 0.000 0.000 0.000 (multiplicity 4)
Ga 0.000 0.000 0.500 (multiplicity 4)

=====

[11]
The following is a DFT calculation (GGA-PBE) of crystalline Be2NbHgS at its relaxed geometry.

## Properties
Density ... 4.91 g cm⁻³
Uncorrected energy ... -13.7 eV per cell
Spin magnetization ... 0.00 Bohr magnetons per cell
Energy relative to the elements, uncorrected ... 1.652 eV per atom

a b c (Å): 4.678 4.678 5.306
angles (deg): 90.00 90.00 90.00
Space group P4/mmm (No. 123)
Asymmetric unit:
Be 0.000 0.500 0.000 (multiplicity 2)
Nb 0.000 0.000 0.000 (multiplicity 1)
Hg 0.000 0.000 0.500 (multiplicity 1)
S 0.500 0.500 0.500 (multiplicity 1)

=====

[12]
The following is a DFT calculation (GGA-PBE) of crystalline CaPmYLu at its relaxed geometry.

## Properties
Density ... 5.53 g cm⁻³
Uncorrected energy ... -68.8 eV per cell
Spin magnetization ... 0.00 Bohr magnetons per cell

a b c (Å): 8.138 8.138 8.138
angles (deg): 90.00 90.00 90.00
Space group F-43m (No. 216)
Asymmetric unit:
Ca 0.000 0.000 0.000 (multiplicity 4)
Pm 0.250 0.250 0.250 (multiplicity 4)
Y 0.250 0.250 0.750 (multiplicity 4)
Lu 0.000 0.000 0.500 (multiplicity 4)

=====

> The lowest uncorrected energy belongs to which entry?

TbPr2S3